# 1
Material: YMoIr
Method: DFT, PBE
State: relaxed

Computed properties:
magnetization	0.0	Bohr magnetons per cell
calculated volume	58	Å³/f.u.
distance to the lowest polymorph of the same formula	46.3	meV/atom

Structure (POSCAR):
```
YMoIr
1.0
6.390 0.000 0.000
5.628 3.025 0.008
0.762 0.182 3.019
Ir Mo Y
1 1 1
Direct
0.024 0.024 0.976
0.640 0.640 0.360
0.336 0.336 0.664
```

***

# 2
Material: Y2MoIr
Method: DFT, PBE
State: relaxed

Computed properties:
magnetization	0.0	Bohr magnetons per cell
DFT total energy	-8.217	eV per atom
calculated volume	90	Å³/f.u.

Structure (POSCAR):
```
Y2MoIr
1.0
-1.104 -0.406 2.945
-0.483 -3.075 -0.605
8.240 -1.851 2.833
Ir Mo Y
1 1 2
Direct
0.000 0.000 0.542
0.500 0.500 0.704
0.000 0.000 0.946
0.500 0.500 0.309
```

***

# 3
Material: Y2MoIr
Method: DFT, PBE
State: relaxed

Computed properties:
magnetization	0.0	Bohr magnetons per cell
DFT total energy	-8.054	eV per atom
calculated volume	84	Å³/f.u.

Structure (POSCAR):
```
Y2MoIr
1.0
5.810 0.000 0.000
2.948 5.006 0.000
-4.379 -2.503 2.883
Ir Mo Y
1 1 2
Direct
0.500 0.500 0.000
0.750 0.250 0.500
0.000 0.000 0.000
0.250 0.750 0.500
```

***

# 4
Material: YMoIr2
Method: DFT, PBE
State: relaxed

Computed properties:
magnetization	0.0	Bohr magnetons per cell
calculated volume	69	Å³/f.u.
distance to the lowest polymorph of the same formula	429.9	meV/atom

Structure (POSCAR):
```
YMoIr2
1.0
9.466 -0.042 -0.025
9.028 2.844 -0.025
9.028 1.368 2.494
Ir Mo Y
2 1 1
Direct
0.993 0.993 0.993
0.507 0.507 0.507
0.250 0.250 0.250
0.750 0.750 0.750
```

***

# 5
Material: YMoIr2
Method: DFT, PBE
State: relaxed

Computed properties:
magnetization	0.3	Bohr magnetons per cell
calculated volume	69	Å³/f.u.
distance to the lowest polymorph of the same formula	224.3	meV/atom

Structure (POSCAR):
```
YMoIr2
1.0
4.877 -0.004 -0.081
1.174 4.734 0.081
-2.969 -2.438 3.007
Ir Mo Y
2 1 1
Direct
0.000 0.000 0.000
0.500 0.500 0.000
0.750 0.250 0.500
0.250 0.750 0.500
```

***

# 6
Material: YMoIr
Method: DFT, PBE
State: relaxed

Computed properties:
magnetization	0.0	Bohr magnetons per cell
calculated volume	58	Å³/f.u.
distance to the lowest polymorph of the same formula	473.8	meV/atom

Structure (POSCAR):
```
YMoIr
1.0
-0.655 -0.275 3.057
1.028 -2.487 -1.615
6.412 1.660 1.523
Ir Mo Y
1 1 1
Direct
0.000 0.000 0.025
0.667 0.333 0.305
0.333 0.667 0.670
```

***

| no. | density of states at the Fermi level (states/eV/f.u.) | mass density (g cm⁻³) |
| --- | --- | --- |
| 1 | 2.53 | 10.7 |
| 2 | 3.54 | 8.6 |
| 3 | 5.23 | 9.2 |
| 4 | 2.36 | 13.8 |
| 5 | 4.78 | 13.6 |
| 6 | 3.91 | 10.8 |